The following is a PBE with a Hubbard U calculation of crystalline Co2CuGeO6 at its relaxed geometry, from Alexandria.

The structure in extended XYZ format:
```
10
Lattice="2.4655 1.4234 4.4511 -2.4655 1.4234 4.4511 0.0000 -2.8469 4.4511" Properties=species:S:1:pos:R:3 pbc="T T T"
Co 0.0000 0.0000 0.0000
Co 0.0000 0.0000 6.6598
Cu 0.0000 0.0000 2.7321
Ge 0.0000 0.0000 9.3212
O -0.7648 -1.5057 5.6800
O -1.4487 -0.0823 7.9878
O -0.9216 1.4152 5.6800
O 0.7956 -1.2135 7.9878
O 1.6864 0.0905 5.6800
O 0.6531 1.2958 7.9878
```

Output
M_tot: 1.00 μB per formula unit
E_tot: -5.8370 eV per atom
Space-group type: R3